Record 1
VASP calculation (GGA-PBEsol) on a relaxed structure of CuHg.

Properties
E_tot	-4.48	eV/cell
spin magnetization	0.00	μB/atom
energy relative to the elements	20	kJ per mole of atoms

Structure (CIF):
```
data_CuHg
_cell_length_a 3.0259
_cell_length_b 3.0259
_cell_length_c 4.1568
_cell_angle_alpha 90.00
_cell_angle_beta 90.00
_cell_angle_gamma 120.00
_space_group_name_H-M_alt 'P -6 m 2'
_space_group_IT_number 187
_space_group_name_Hall 'P -6 2'
loop_
_atom_site_label
_atom_site_type_symbol
_atom_site_fract_x
_atom_site_fract_y
_atom_site_fract_z
Cu1 Cu 0.0000 0.0000 0.0000
Hg1 Hg 0.6667 0.3333 0.5000
```

---

Record 2
VASP calculation (GGA-PBEsol) on a relaxed structure of CuHg2.

Properties
E_tot	-14.95	eV/cell
spin magnetization	0.00	μB/atom
energy relative to the elements	16	kJ per mole of atoms

Structure (CIF):
```
data_CuHg2
_cell_length_a 3.1271
_cell_length_b 3.1271
_cell_length_c 19.6081
_cell_angle_alpha 90.00
_cell_angle_beta 90.00
_cell_angle_gamma 120.00
_space_group_name_H-M_alt 'R 3 m'
_space_group_IT_number 160
_space_group_name_Hall 'R 3 -2"'
loop_
_atom_site_label
_atom_site_type_symbol
_atom_site_fract_x
_atom_site_fract_y
_atom_site_fract_z
Cu1 Cu 0.0000 0.0000 0.0000
Hg1 Hg 0.0000 0.0000 0.5644
Hg2 Hg 0.0000 0.0000 0.7686
```

---

Record 3
VASP calculation (GGA-PBEsol) on a relaxed structure of CuHg.

Properties
E_tot	-13.35	eV/cell
spin magnetization	0.00	μB/atom
energy relative to the elements	22	kJ per mole of atoms

Structure (CIF):
```
data_CuHg
_cell_length_a 2.9973
_cell_length_b 2.9973
_cell_length_c 12.6824
_cell_angle_alpha 90.00
_cell_angle_beta 90.00
_cell_angle_gamma 120.00
_space_group_name_H-M_alt 'R -3 m'
_space_group_IT_number 166
_space_group_name_Hall '-R 3 2"'
loop_
_atom_site_label
_atom_site_type_symbol
_atom_site_fract_x
_atom_site_fract_y
_atom_site_fract_z
Cu1 Cu 0.0000 0.0000 0.0000
Hg1 Hg 0.0000 0.0000 0.5000
```

---

Record 4
VASP calculation (GGA-PBEsol) on a relaxed structure of CuHg3.

Properties
E_tot	-16.53	eV/cell
spin magnetization	0.00	μB/atom
energy relative to the elements	13	kJ per mole of atoms

Structure (CIF):
```
data_CuHg3
_cell_length_a 3.1962
_cell_length_b 3.1962
_cell_length_c 26.9312
_cell_angle_alpha 90.00
_cell_angle_beta 90.00
_cell_angle_gamma 120.00
_space_group_name_H-M_alt 'R -3 m'
_space_group_IT_number 166
_space_group_name_Hall '-R 3 2"'
loop_
_atom_site_label
_atom_site_type_symbol
_atom_site_fract_x
_atom_site_fract_y
_atom_site_fract_z
Cu1 Cu 0.0000 0.0000 0.0000
Hg1 Hg 0.0000 0.0000 0.2609
Hg2 Hg 0.0000 0.0000 0.5000
```

---

Record 5
VASP calculation (GGA-PBEsol) on a relaxed structure of Cu8Hg.

Properties
E_tot	-69.47	eV/cell
spin magnetization	0.00	μB/atom
energy relative to the elements	5	kJ per mole of atoms

Structure (CIF):
```
data_Cu8Hg
_cell_length_a 7.809
_cell_length_b 7.809
_cell_length_c 3.629
_cell_angle_alpha 90.00
_cell_angle_beta 90.00
_cell_angle_gamma 90.00
_space_group_name_H-M_alt 'I 4/m m m'
_space_group_IT_number 139
_space_group_name_Hall '-I 4 2'
loop_
_atom_site_label
_atom_site_type_symbol
_atom_site_fract_x
_atom_site_fract_y
_atom_site_fract_z
Cu1 Cu 0.000 0.341 0.000
Cu2 Cu 0.175 0.175 0.500
Hg1 Hg 0.000 0.000 0.000
```

---

Record 6
VASP calculation (GGA-PBEsol) on a relaxed structure of CuHg2.

Properties
E_tot	-4.54	eV/cell
spin magnetization	0.00	μB/atom
energy relative to the elements	30	kJ per mole of atoms

Structure (CIF):
```
data_CuHg2
_cell_length_a 4.7674
_cell_length_b 4.7674
_cell_length_c 2.8455
_cell_angle_alpha 90.00
_cell_angle_beta 90.00
_cell_angle_gamma 120.00
_space_group_name_H-M_alt 'P 6/m m m'
_space_group_IT_number 191
_space_group_name_Hall '-P 6 2'
loop_
_atom_site_label
_atom_site_type_symbol
_atom_site_fract_x
_atom_site_fract_y
_atom_site_fract_z
Cu1 Cu 0.0000 0.0000 0.0000
Hg1 Hg 0.3333 0.6667 0.5000
```

---

Record 7
VASP calculation (GGA-PBEsol) on a relaxed structure of KCu2HgI.

Properties
E_tot	-10.84	eV/cell
spin magnetization	0.00	μB/atom

Structure (CIF):
```
data_KCu2HgI
_cell_length_a 4.883
_cell_length_b 4.883
_cell_length_c 6.558
_cell_angle_alpha 90.00
_cell_angle_beta 90.00
_cell_angle_gamma 90.00
_space_group_name_H-M_alt 'P 4/m m m'
_space_group_IT_number 123
_space_group_name_Hall '-P 4 2'
loop_
_atom_site_label
_atom_site_type_symbol
_atom_site_fract_x
_atom_site_fract_y
_atom_site_fract_z
K1 K 0.000 0.000 0.000
Cu1 Cu 0.000 0.500 0.500
Hg1 Hg 0.000 0.000 0.500
I1 I 0.500 0.500 0.000
```

---

Record 8
VASP calculation (GGA-PBEsol) on a relaxed structure of CuHgI2N.

Properties
E_tot	-10.96	eV/cell
spin magnetization	0.36	μB/atom

Structure (CIF):
```
data_CuHgI2N
_cell_length_a 5.914
_cell_length_b 5.914
_cell_length_c 4.031
_cell_angle_alpha 90.00
_cell_angle_beta 90.00
_cell_angle_gamma 90.00
_space_group_name_H-M_alt 'P 4/m m m'
_space_group_IT_number 123
_space_group_name_Hall '-P 4 2'
loop_
_atom_site_label
_atom_site_type_symbol
_atom_site_fract_x
_atom_site_fract_y
_atom_site_fract_z
Cu1 Cu 0.000 0.000 0.000
Hg1 Hg 0.500 0.500 0.500
I1 I 0.000 0.500 0.500
N1 N 0.500 0.500 0.000
```

---

Record 9
VASP calculation (GGA-PBEsol) on a relaxed structure of In2CuHg.

Properties
E_tot	-20.49	eV/cell
spin magnetization	0.00	μB/atom
energy relative to the elements	15	kJ per mole of atoms

Structure (CIF):
```
data_In2CuHg
_cell_length_a 4.274
_cell_length_b 4.274
_cell_length_c 8.846
_cell_angle_alpha 90.00
_cell_angle_beta 90.00
_cell_angle_gamma 90.00
_space_group_name_H-M_alt 'I -4 m 2'
_space_group_IT_number 119
_space_group_name_Hall 'I -4 -2'
loop_
_atom_site_label
_atom_site_type_symbol
_atom_site_fract_x
_atom_site_fract_y
_atom_site_fract_z
In1 In 0.000 0.000 0.000
In2 In 0.000 0.500 0.250
Cu1 Cu 0.000 0.000 0.500
Hg1 Hg 0.000 0.500 0.750
```

---

Record 10
VASP calculation (GGA-PBEsol) on a relaxed structure of In2CuHg.

Properties
E_tot	-10.61	eV/cell
spin magnetization	0.00	μB/atom
energy relative to the elements	6	kJ per mole of atoms

Structure (CIF):
```
data_In2CuHg
_cell_length_a 3.130
_cell_length_b 3.130
_cell_length_c 8.338
_cell_angle_alpha 90.00
_cell_angle_beta 90.00
_cell_angle_gamma 90.00
_space_group_name_H-M_alt 'P 4/m m m'
_space_group_IT_number 123
_space_group_name_Hall '-P 4 2'
loop_
_atom_site_label
_atom_site_type_symbol
_atom_site_fract_x
_atom_site_fract_y
_atom_site_fract_z
In1 In 0.000 0.000 0.207
Cu1 Cu 0.500 0.500 0.000
Hg1 Hg 0.500 0.500 0.500
```

---

Record 11
VASP calculation (GGA-PBEsol) on a relaxed structure of In2CuHg.

Properties
E_tot	-21.31	eV/cell
spin magnetization	0.00	μB/atom
energy relative to the elements	5	kJ per mole of atoms

Structure (CIF):
```
data_In2CuHg
_cell_length_a 3.014
_cell_length_b 4.436
_cell_length_c 12.561
_cell_angle_alpha 90.00
_cell_angle_beta 90.00
_cell_angle_gamma 90.00
_space_group_name_H-M_alt 'I m m 2'
_space_group_IT_number 44
_space_group_name_Hall 'I 2 -2'
loop_
_atom_site_label
_atom_site_type_symbol
_atom_site_fract_x
_atom_site_fract_y
_atom_site_fract_z
In1 In 0.000 0.000 0.000
In2 In 0.000 0.500 0.201
Cu1 Cu 0.000 0.500 0.686
Hg1 Hg 0.000 0.000 0.378
```

---

Record 12
VASP calculation (GGA-PBEsol) on a relaxed structure of CuHg2Ir.

Properties
relative energy among the computed polymorphs	0.0	meV per atom
E_tot	-27.80	eV/cell
spin magnetization	0.00	μB/atom
energy relative to the elements	34	kJ per mole of atoms

Structure (CIF):
```
data_CuHg2Ir
_cell_length_a 4.195
_cell_length_b 4.195
_cell_length_c 7.450
_cell_angle_alpha 90.00
_cell_angle_beta 90.00
_cell_angle_gamma 90.00
_space_group_name_H-M_alt 'I 4/m m m'
_space_group_IT_number 139
_space_group_name_Hall '-I 4 2'
loop_
_atom_site_label
_atom_site_type_symbol
_atom_site_fract_x
_atom_site_fract_y
_atom_site_fract_z
Cu1 Cu 0.000 0.000 0.000
Hg1 Hg 0.000 0.500 0.250
Ir1 Ir 0.000 0.000 0.500
```